Below is a geometry-optimized TbInRh2 structure, with properties calculated at the PBE-GGA level.

Summary:
SG	P4/mmm
E_form	-0.659	eV/atom
spin magnetization	0.000	μB/atom
VASP energy	-6.177	eV/atom

Unit cell a=3.3995 b=3.3995 c=6.4351 alpha=90.00 beta=90.00 gamma=90.00
Atoms (fractional coordinates):
Tb 0.0000 0.0000 0.0000
In 0.0000 0.0000 0.5000
Rh 0.5000 0.5000 0.2644
Rh 0.5000 0.5000 0.7356